Record 1
A geometry-optimized Dy2Y4Tm structure. Source: Alexandria, functional PBE.

Cell: 3.549 9.391 8.548 Å, 121.91 78.02 112.19°
Element x y z (fractional)
Y  0.805  0.164  0.719
Y  0.195  0.836  0.281
Y  0.590  0.293  0.407
Y  0.410  0.707  0.593
Dy  0.640  0.570  0.860
Dy  0.360  0.430  0.140
Tm  0.000  0.000  0.000

Formation enthalpy at 0 K, eV per atom: 0.036
Symmetry: C2/m, No. 12
Distance to the lowest polymorph of the same formula, meV per atom: 0

Record 2
A geometry-optimized Dy3Y6Tm structure. Source: Alexandria, functional PBE.

Cell: 6.377 11.530 11.530 Å, 130.65 90.00 90.00°
Element x y z (fractional)
Y  0.788  0.301  0.699
Y  0.320  0.985  0.015
Y  0.568  0.257  0.378
Y  0.327  0.458  0.895
Y  0.068  0.743  0.622
Y  0.827  0.542  0.105
Y  0.568  0.622  0.743
Y  0.327  0.105  0.542
Y  0.820  0.015  0.985
Y  0.288  0.699  0.301
Y  0.068  0.378  0.257
Y  0.827  0.895  0.458
Dy  0.489  0.295  0.040
Dy  0.989  0.705  0.960
Dy  0.489  0.960  0.705
Dy  0.592  0.580  0.420
Dy  0.092  0.420  0.580
Dy  0.989  0.040  0.295
Tm  0.518  0.839  0.161
Tm  0.018  0.161  0.839

Formation enthalpy at 0 K, eV per atom: 0.116
Symmetry: Cmc2_1, No. 36
Distance to the lowest polymorph of the same formula, meV per atom: 0

Record 3
A geometry-optimized Dy4Y6Tm19 structure. Source: Alexandria, functional PBE.

Cell: 10.685 10.685 10.685 Å, 109.47 109.47 109.47°
Element x y z (fractional)
Tm  0.739  0.739  0.000
Tm  0.210  0.533  0.193
Tm  0.807  0.339  0.017
Tm  0.000  0.000  0.000
Tm  0.261  0.000  0.261
Tm  0.677  0.661  0.467
Tm  0.533  0.193  0.210
Tm  0.661  0.467  0.677
Tm  0.017  0.807  0.339
Tm  0.790  0.983  0.323
Tm  0.193  0.210  0.533
Tm  0.467  0.677  0.661
Tm  0.000  0.739  0.739
Tm  0.739  0.000  0.739
Tm  0.323  0.790  0.983
Tm  0.000  0.261  0.261
Tm  0.261  0.261  0.000
Tm  0.339  0.017  0.807
Tm  0.983  0.323  0.790
Y  0.368  0.500  0.868
Y  0.500  0.868  0.368
Y  0.868  0.368  0.500
Y  0.632  0.500  0.132
Y  0.500  0.132  0.632
Y  0.132  0.632  0.500
Dy  0.000  0.000  0.642
Dy  0.642  0.000  0.000
Dy  0.358  0.358  0.358
Dy  0.000  0.642  0.000

Formation enthalpy at 0 K, eV per atom: 0.392
Symmetry: I23, No. 197

Record 4
A geometry-optimized DyY4Tm8 structure. Source: Alexandria, functional PBE.

Cell: 7.266 7.266 9.835 Å, 90.00 111.68 120.00°
Element x y z (fractional)
Tm  0.941  0.191  0.691
Tm  0.941  0.750  0.691
Tm  0.500  0.250  0.309
Tm  0.434  0.217  0.652
Tm  0.566  0.783  0.348
Tm  0.500  0.750  0.691
Tm  0.059  0.250  0.309
Tm  0.059  0.809  0.309
Y  0.000  0.000  0.000
Y  0.000  0.500  0.000
Y  0.500  0.000  0.000
Y  0.500  0.500  0.000
Dy  0.000  0.500  0.500

Formation enthalpy at 0 K, eV per atom: 0.229
Symmetry: R-3m, No. 166

Record 5
A geometry-optimized Dy3YTm5 structure. Source: Alexandria, functional PBE.

Cell: 9.401 9.401 11.448 Å, 52.78 52.78 73.13°
Element x y z (fractional)
Dy  0.000  0.000  0.500
Dy  0.700  0.700  0.810
Dy  0.344  0.344  0.634
Dy  0.000  0.000  0.000
Dy  0.656  0.656  0.366
Dy  0.300  0.300  0.190
Tm  0.151  0.652  0.751
Tm  0.738  0.262  0.000
Tm  0.652  0.151  0.751
Tm  0.813  0.813  0.965
Tm  0.348  0.849  0.249
Tm  0.262  0.738  0.000
Tm  0.187  0.187  0.035
Tm  0.509  0.509  0.773
Tm  0.849  0.348  0.249
Tm  0.491  0.491  0.227
Y  0.148  0.148  0.601
Y  0.852  0.852  0.399

Formation enthalpy at 0 K, eV per atom: 0.539
Symmetry: C2/m, No. 12
Distance to the lowest polymorph of the same formula, meV per atom: 461

Record 6
A geometry-optimized Dy2Y7Tm2 structure. Source: Alexandria, functional PBE.

Cell: 8.613 6.505 6.505 Å, 92.76 82.18 82.18°
Element x y z (fractional)
Y  0.208  0.081  0.450
Y  0.590  0.154  0.154
Y  0.792  0.550  0.919
Y  0.792  0.919  0.550
Y  0.000  0.000  0.000
Y  0.208  0.450  0.081
Y  0.410  0.846  0.846
Tm  0.145  0.604  0.604
Tm  0.855  0.396  0.396
Dy  0.500  0.676  0.324
Dy  0.500  0.324  0.676

Formation enthalpy at 0 K, eV per atom: 0.102
Symmetry: C2/m, No. 12
Distance to the lowest polymorph of the same formula, meV per atom: 0

Record 7
A geometry-optimized DyYTm2 structure. Source: Alexandria, functional PBE.

Cell: 4.108 4.108 7.437 Å, 90.00 90.00 90.01°
Element x y z (fractional)
Tm  0.748  0.748  0.629
Tm  0.248  0.248  0.872
Y  0.748  0.748  0.124
Dy  0.248  0.248  0.382

Formation enthalpy at 0 K, eV per atom: 0.128
Symmetry: P4mm, No. 99
Distance to the lowest polymorph of the same formula, meV per atom: 116

Record 8
A geometry-optimized DyY5Tm2 structure. Source: Alexandria, functional PBE.

Cell: 8.796 17.012 10.236 Å, 90.00 90.00 159.30°
Element x y z (fractional)
Y  0.536  0.767  0.750
Y  0.536  0.275  0.587
Y  0.207  0.941  0.071
Y  0.207  0.941  0.429
Y  0.793  0.059  0.571
Y  0.464  0.725  0.087
Y  0.464  0.725  0.413
Y  0.464  0.233  0.250
Y  0.793  0.059  0.929
Y  0.536  0.275  0.913
Dy  0.825  0.597  0.750
Dy  0.175  0.403  0.250
Tm  0.222  0.445  0.915
Tm  0.778  0.555  0.415
Tm  0.778  0.555  0.085
Tm  0.222  0.445  0.585

Formation enthalpy at 0 K, eV per atom: 0.233
Symmetry: P2_1/m, No. 11
Distance to the lowest polymorph of the same formula, meV per atom: 208

no.,Fermi-level density of states (states/eV per cell)
1,12.4
2,33.5
3,44.7
4,19.9
5,24.1
6,19.5
7,8.9
8,22.3